# 1
VASP calculation (PBE-GGA) on a geometry-optimized CaAc2Nb structure.

Energy of formation from the pure elements   18.4 kcal/mol of atoms
Theoretical density   6.9 Mg/m³
VASP energy   -17.09 eV per formula unit

POSCAR file:
```
CaAc2Nb
1.0
1.7820 1.0288 12.8339
-1.7820 1.0288 12.8339
0.0000 -2.0576 12.8339
Ca Ac Nb
1 2 1
Direct
0.0000 0.0000 0.0000 Ca
0.4213 0.4213 0.4213 Ac
0.5787 0.5787 0.5787 Ac
0.5000 0.5000 0.5000 Nb
```

---

# 2
VASP calculation (PBE-GGA) on a geometry-optimized Nd3SiO structure.

Relative energy among the computed polymorphs   0.089 eV/f.u.
Theoretical density   6.7 Mg/m³
VASP energy   -31.03 eV per formula unit
Formation energy without anion corrections   -122 kJ/mol of atoms

POSCAR file:
```
Nd3SiO
1.0
9.2341 0.0000 0.0000
0.0000 6.2045 0.0000
-3.2663 0.0000 8.1949
Nd Si O
12 4 4
Direct
0.0645 0.0974 0.3512 Nd
0.0645 0.4026 0.8512 Nd
0.1922 0.5895 0.5527 Nd
0.1922 0.9105 0.0527 Nd
0.3747 0.1139 0.7686 Nd
0.3747 0.3861 0.2686 Nd
0.6253 0.6139 0.7314 Nd
0.6253 0.8861 0.2314 Nd
0.8078 0.0895 0.9473 Nd
0.8078 0.4105 0.4473 Nd
0.9355 0.5974 0.1488 Nd
0.9355 0.9026 0.6488 Nd
0.3870 0.6173 0.9201 Si
0.3870 0.8827 0.4201 Si
0.6130 0.1173 0.5799 Si
0.6130 0.3827 0.0799 Si
0.0736 0.2423 0.6087 O
0.0736 0.2577 0.1087 O
0.9264 0.7423 0.8913 O
0.9264 0.7577 0.3913 O
```

---

# 3
VASP calculation (PBE-GGA) on a geometry-optimized Cs3NaLi2Br6 structure.

Theoretical density   2.9 Mg/m³
VASP energy   -36.99 eV per formula unit
Formation energy without anion corrections   -155 kJ/mol of atoms

POSCAR file:
```
Cs3NaLi2Br6
1.0
8.1428 0.0000 0.0000
-4.0714 7.0519 0.0000
0.0000 0.0000 9.2425
Cs Na Li Br
3 1 2 6
Direct
0.0000 0.0000 0.0000 Cs
0.3333 0.6667 0.6330 Cs
0.6667 0.3333 0.3670 Cs
0.0000 0.0000 0.5000 Na
0.3333 0.6667 0.2432 Li
0.6667 0.3333 0.7568 Li
0.1670 0.3340 0.2973 Br
0.1670 0.8330 0.2973 Br
0.3340 0.1670 0.7027 Br
0.6660 0.8330 0.2973 Br
0.8330 0.1670 0.7027 Br
0.8330 0.6660 0.7027 Br
```

---

# 4
VASP calculation (PBE-GGA) on a geometry-optimized KInAu2 structure.

Energy of formation from the pure elements   -6.4 kcal/mol of atoms
Theoretical density   7.6 Mg/m³
VASP energy   -11.49 eV per formula unit

POSCAR file:
```
KInAu2
1.0
4.1958 -2.4306 0.0000
4.1958 2.4306 0.0000
-2.7722 0.0000 5.8397
K In Au
1 1 2
Direct
0.0000 0.0000 0.0000 K
0.5000 0.5000 0.5000 In
0.1884 0.1884 0.5657 Au
0.8116 0.8116 0.4343 Au
```

---

# 5
VASP calculation (PBE-GGA) on a geometry-optimized TlH2Au6 structure.

Theoretical density   15.4 Mg/m³
VASP energy   -27.26 eV per formula unit

POSCAR file:
```
TlH2Au6
1.0
3.0172 0.0000 0.0000
1.1543 7.1137 0.0000
0.7821 3.2287 6.9517
Tl H Au
1 2 6
Direct
0.0000 0.0000 0.0000 Tl
0.2528 0.2873 0.6238 H
0.7472 0.7127 0.3762 H
0.2113 0.2947 0.1547 Au
0.3023 0.8535 0.4608 Au
0.4393 0.4214 0.7458 Au
0.5607 0.5786 0.2542 Au
0.6977 0.1465 0.5392 Au
0.7887 0.7053 0.8453 Au
```

---

Q: Look up the theoretical density of the fifth one.
A: 15.4 Mg/m³

---

Repeat the second record exactly.
VASP calculation (PBE-GGA) on a geometry-optimized Nd3SiO structure.

Relative energy among the computed polymorphs   0.089 eV/f.u.
Theoretical density   6.7 Mg/m³
VASP energy   -31.03 eV per formula unit
Formation energy without anion corrections   -122 kJ/mol of atoms

POSCAR file:
```
Nd3SiO
1.0
9.2341 0.0000 0.0000
0.0000 6.2045 0.0000
-3.2663 0.0000 8.1949
Nd Si O
12 4 4
Direct
0.0645 0.0974 0.3512 Nd
0.0645 0.4026 0.8512 Nd
0.1922 0.5895 0.5527 Nd
0.1922 0.9105 0.0527 Nd
0.3747 0.1139 0.7686 Nd
0.3747 0.3861 0.2686 Nd
0.6253 0.6139 0.7314 Nd
0.6253 0.8861 0.2314 Nd
0.8078 0.0895 0.9473 Nd
0.8078 0.4105 0.4473 Nd
0.9355 0.5974 0.1488 Nd
0.9355 0.9026 0.6488 Nd
0.3870 0.6173 0.9201 Si
0.3870 0.8827 0.4201 Si
0.6130 0.1173 0.5799 Si
0.6130 0.3827 0.0799 Si
0.0736 0.2423 0.6087 O
0.0736 0.2577 0.1087 O
0.9264 0.7423 0.8913 O
0.9264 0.7577 0.3913 O
```

---

Q: Which of these has the highest theoretical density?
A: TlH2Au6